No. 1
The following is a GGA-PBE calculation of a geometry-optimized Na2AcPmF8 structure, from Alexandria via LeMat-Bulk.

Cell and atoms, written as POSCAR:
```
Na2AcPmF8
1.0
-2.858 2.858 5.738
2.858 -2.858 5.738
2.858 2.858 -5.738
Na Ac Pm F
2 1 1 8
Direct
0.000 0.000 0.000 Na
0.750 0.250 0.500 Na
0.500 0.500 0.000 Ac
0.250 0.750 0.500 Pm
0.133 0.111 0.502 F
0.133 0.631 0.022 F
0.369 0.391 0.502 F
0.369 0.867 0.978 F
0.609 0.111 0.978 F
0.609 0.631 0.498 F
0.889 0.391 0.022 F
0.889 0.867 0.498 F
```

- ΔE_f (raw) (meV per atom) = -3693.8
- N(E_F) (states/eV/atom) = 0.00
- total magnetization (μB/atom) = 0.000
- energy (eV/atom) = -5.899
- volume (Å³ per atom) = 15.623


No. 2
The following is a GGA-PBE calculation of a geometry-optimized Na2AcPuF8 structure, from Alexandria via LeMat-Bulk.

Cell and atoms, written as POSCAR:
```
Na2AcPuF8
1.0
6.255 0.000 0.000
-3.128 5.417 0.000
0.000 0.000 7.406
Na Ac Pu F
2 1 1 8
Direct
0.333 0.667 0.194 Na
0.667 0.333 0.806 Na
0.000 0.000 0.000 Ac
0.000 0.000 0.500 Pu
0.142 0.284 0.271 F
0.142 0.858 0.271 F
0.284 0.142 0.729 F
0.333 0.667 0.913 F
0.667 0.333 0.087 F
0.716 0.858 0.271 F
0.858 0.142 0.729 F
0.858 0.716 0.729 F
```

- ΔE_f (raw) (meV per atom) = -3211.6
- N(E_F) (states/eV/atom) = 0.34
- total magnetization (μB/atom) = 0.417
- energy (eV/atom) = -6.216
- volume (Å³ per atom) = 20.915


No. 3
The following is a GGA-PBE calculation of a geometry-optimized Na2AcRhF8 structure, from Alexandria via LeMat-Bulk.

Cell and atoms, written as POSCAR:
```
Na2AcRhF8
1.0
4.437 0.000 0.000
0.000 7.343 0.000
-0.163 0.000 5.520
Na Ac Rh F
2 1 1 8
Direct
0.000 0.222 0.000 Na
0.000 0.778 0.000 Na
0.500 0.500 0.500 Ac
0.500 0.000 0.500 Rh
0.033 0.500 0.252 F
0.140 0.000 0.273 F
0.388 0.211 0.721 F
0.388 0.789 0.721 F
0.612 0.211 0.279 F
0.612 0.789 0.279 F
0.860 0.000 0.727 F
0.967 0.500 0.748 F
```

- ΔE_f (raw) (meV per atom) = -2790.9
- total magnetization (μB/atom) = 0.000
- energy (eV/atom) = -5.213
- volume (Å³ per atom) = 14.986


No. 4
The following is a GGA-PBE calculation of a geometry-optimized Na2AcScF8 structure, from Alexandria via LeMat-Bulk.

Cell and atoms, written as POSCAR:
```
Na2AcScF8
1.0
4.259 0.000 0.000
0.000 7.596 0.000
-0.140 0.000 5.533
Na Ac Sc F
2 1 1 8
Direct
0.000 0.224 0.000 Na
0.000 0.776 0.000 Na
0.500 0.500 0.500 Ac
0.500 0.000 0.500 Sc
0.018 0.500 0.250 F
0.110 0.000 0.281 F
0.410 0.217 0.724 F
0.410 0.783 0.724 F
0.590 0.217 0.276 F
0.590 0.783 0.276 F
0.890 0.000 0.719 F
0.982 0.500 0.750 F
```

- ΔE_f (raw) (meV per atom) = -3600.2
- N(E_F) (states/eV/atom) = 0.00
- total magnetization (μB/atom) = 0.008
- energy (eV/atom) = -5.938
- volume (Å³ per atom) = 14.916


No. 5
The following is a GGA-PBE calculation of a geometry-optimized Na2AcSmF8 structure, from Alexandria via LeMat-Bulk.

Cell and atoms, written as POSCAR:
```
Na2AcSmF8
1.0
-2.853 2.853 5.723
2.853 -2.853 5.723
2.853 2.853 -5.723
Na Ac Sm F
2 1 1 8
Direct
0.000 0.000 0.000 Na
0.750 0.250 0.500 Na
0.500 0.500 0.000 Ac
0.250 0.750 0.500 Sm
0.133 0.110 0.502 F
0.133 0.631 0.023 F
0.369 0.392 0.502 F
0.369 0.867 0.977 F
0.608 0.110 0.977 F
0.608 0.631 0.498 F
0.890 0.392 0.023 F
0.890 0.867 0.498 F
```

- ΔE_f (raw) (meV per atom) = -3694.9
- N(E_F) (states/eV/atom) = 0.00
- total magnetization (μB/atom) = 0.000
- energy (eV/atom) = -5.898
- volume (Å³ per atom) = 15.528


No. 6
The following is a GGA-PBE calculation of a geometry-optimized NaSr2AcF8 structure, from Alexandria via LeMat-Bulk.

Cell and atoms, written as POSCAR:
```
NaSr2AcF8
1.0
4.192 0.000 0.000
0.000 5.860 0.000
0.000 0.000 8.345
Na Sr Ac F
1 2 1 8
Direct
0.000 0.000 0.000 Na
0.500 0.500 0.229 Sr
0.500 0.500 0.771 Sr
0.000 0.000 0.500 Ac
0.000 0.255 0.264 F
0.000 0.255 0.736 F
0.000 0.745 0.264 F
0.000 0.745 0.736 F
0.500 0.245 0.500 F
0.500 0.252 0.000 F
0.500 0.748 0.000 F
0.500 0.755 0.500 F
```

- ΔE_f (raw) (meV per atom) = -3802.3
- N(E_F) (states/eV/atom) = 0.00
- total magnetization (μB/atom) = 0.000
- energy (eV/atom) = -5.782
- volume (Å³ per atom) = 17.081


No. 7
The following is a GGA-PBE calculation of a geometry-optimized Na2AcTlF8 structure, from Alexandria via LeMat-Bulk.

Cell and atoms, written as POSCAR:
```
Na2AcTlF8
1.0
4.042 0.000 0.000
0.000 5.645 0.000
0.000 0.000 7.980
Na Ac Tl F
2 1 1 8
Direct
0.000 0.000 0.229 Na
0.000 0.000 0.771 Na
0.500 0.500 0.500 Ac
0.500 0.500 0.000 Tl
0.000 0.247 0.500 F
0.000 0.274 0.000 F
0.000 0.726 0.000 F
0.000 0.753 0.500 F
0.500 0.261 0.232 F
0.500 0.261 0.768 F
0.500 0.739 0.232 F
0.500 0.739 0.768 F
```

- ΔE_f (raw) (meV per atom) = -2930.3
- N(E_F) (states/eV/atom) = 0.00
- total magnetization (μB/atom) = 0.000
- energy (eV/atom) = -4.937
- volume (Å³ per atom) = 15.173


No. 8
The following is a GGA-PBE calculation of a geometry-optimized Na2AcTmF8 structure, from Alexandria via LeMat-Bulk.

Cell and atoms, written as POSCAR:
```
Na2AcTmF8
1.0
3.990 0.000 0.000
0.000 7.930 0.000
-0.010 0.000 5.636
Na Ac Tm F
2 1 1 8
Direct
0.000 0.227 0.000 Na
0.000 0.773 0.000 Na
0.500 0.500 0.500 Ac
0.500 0.000 0.500 Tm
0.001 0.000 0.718 F
0.001 0.500 0.755 F
0.499 0.228 0.266 F
0.499 0.772 0.266 F
0.501 0.228 0.734 F
0.501 0.772 0.734 F
0.999 0.000 0.282 F
0.999 0.500 0.245 F
```

- ΔE_f (raw) (meV per atom) = -3704.8
- N(E_F) (states/eV/atom) = 0.00
- total magnetization (μB/atom) = 0.000
- energy (eV/atom) = -5.887
- volume (Å³ per atom) = 14.861


No. 9
The following is a GGA-PBE calculation of a geometry-optimized Na2AcUF8 structure, from Alexandria via LeMat-Bulk.

Cell and atoms, written as POSCAR:
```
Na2AcUF8
1.0
6.289 0.000 0.000
-3.144 5.446 0.000
0.000 0.000 7.409
Na Ac U F
2 1 1 8
Direct
0.333 0.667 0.189 Na
0.667 0.333 0.811 Na
0.000 0.000 0.000 Ac
0.000 0.000 0.500 U
0.143 0.287 0.269 F
0.143 0.857 0.269 F
0.287 0.143 0.731 F
0.333 0.667 0.908 F
0.667 0.333 0.092 F
0.713 0.857 0.269 F
0.857 0.143 0.731 F
0.857 0.713 0.731 F
```

- ΔE_f (raw) (meV per atom) = -3112.2
- N(E_F) (states/eV/atom) = 0.61
- total magnetization (μB/atom) = 0.249
- energy (eV/atom) = -5.863
- volume (Å³ per atom) = 21.145


No. 10
The following is a GGA-PBE calculation of a geometry-optimized Na2AcYF8 structure, from Alexandria via LeMat-Bulk.

Cell and atoms, written as POSCAR:
```
Na2AcYF8
1.0
-2.835 2.835 5.668
2.835 -2.835 5.668
2.835 2.835 -5.668
Na Ac Y F
2 1 1 8
Direct
0.000 0.000 0.000 Na
0.750 0.250 0.500 Na
0.500 0.500 0.000 Ac
0.250 0.750 0.500 Y
0.133 0.105 0.500 F
0.133 0.633 0.029 F
0.367 0.395 0.500 F
0.367 0.867 0.971 F
0.605 0.105 0.971 F
0.605 0.633 0.500 F
0.895 0.395 0.029 F
0.895 0.867 0.500 F
```

- ΔE_f (raw) (meV per atom) = -3692.9
- N(E_F) (states/eV/atom) = 0.00
- total magnetization (μB/atom) = 0.000
- energy (eV/atom) = -6.041
- volume (Å³ per atom) = 15.182


No. 11
The following is a GGA-PBE calculation of a geometry-optimized NaAcZnF6 structure, from Alexandria via LeMat-Bulk.

Cell and atoms, written as POSCAR:
```
NaAcZnF6
1.0
6.053 0.000 0.000
-3.026 5.242 0.000
0.000 0.000 8.825
Na Ac Zn F
2 2 2 12
Direct
0.000 0.000 0.000 Na
0.000 0.000 0.500 Na
0.333 0.667 0.250 Ac
0.667 0.333 0.750 Ac
0.333 0.667 0.750 Zn
0.667 0.333 0.250 Zn
0.046 0.370 0.627 F
0.046 0.676 0.873 F
0.324 0.370 0.873 F
0.324 0.954 0.627 F
0.370 0.046 0.127 F
0.370 0.324 0.373 F
0.630 0.676 0.627 F
0.630 0.954 0.873 F
0.676 0.046 0.373 F
0.676 0.630 0.127 F
0.954 0.324 0.127 F
0.954 0.630 0.373 F
```

- ΔE_f (raw) (meV per atom) = -3161.2
- N(E_F) (states/eV/atom) = 0.00
- total magnetization (μB/atom) = 0.000
- energy (eV/atom) = -5.153
- volume (Å³ per atom) = 15.555


No. 12
The following is a GGA-PBE calculation of a geometry-optimized AcNb3O8F2 structure, from Alexandria via LeMat-Bulk.

Cell and atoms, written as POSCAR:
```
AcNb3O8F2
1.0
3.024 1.746 6.998
-3.024 1.746 6.998
0.000 -3.491 6.998
Ac Nb O F
1 3 8 2
Direct
0.000 0.000 0.000 Ac
0.365 0.365 0.856 Nb
0.365 0.856 0.365 Nb
0.856 0.365 0.365 Nb
0.087 0.087 0.568 O
0.087 0.568 0.087 O
0.141 0.141 0.141 O
0.174 0.635 0.635 O
0.568 0.087 0.087 O
0.582 0.582 0.582 O
0.635 0.174 0.635 O
0.635 0.635 0.174 O
0.361 0.361 0.361 F
0.695 0.695 0.695 F
```

- ΔE_f (raw) (meV per atom) = -2375.0
- N(E_F) (states/eV/atom) = 0.19
- total magnetization (μB/atom) = 0.005
- energy (eV/atom) = -7.927
- volume (Å³ per atom) = 15.831


No. 13
The following is a GGA-PBE calculation of a geometry-optimized AcNbO4F structure, from Alexandria via LeMat-Bulk.

Cell and atoms, written as POSCAR:
```
AcNbO4F
1.0
5.232 -3.916 0.000
5.232 3.916 0.000
-1.093 0.000 6.980
Ac Nb O F
2 2 8 2
Direct
0.194 0.194 0.091 Ac
0.806 0.806 0.909 Ac
0.380 0.380 0.711 Nb
0.620 0.620 0.289 Nb
0.136 0.496 0.841 O
0.315 0.315 0.446 O
0.437 0.437 0.247 O
0.496 0.136 0.841 O
0.504 0.864 0.159 O
0.563 0.563 0.753 O
0.685 0.685 0.554 O
0.864 0.504 0.159 O
0.020 0.020 0.813 F
0.980 0.980 0.187 F
```

- ΔE_f (raw) (meV per atom) = -2760.4
- total magnetization (μB/atom) = 0.000
- energy (eV/atom) = -7.886
- volume (Å³ per atom) = 20.431


No. 14
The following is a GGA-PBE calculation of a geometry-optimized Ac2NdF11 structure, from Alexandria via LeMat-Bulk.

Cell and atoms, written as POSCAR:
```
Ac2NdF11
1.0
-4.582 5.436 5.959
4.582 -5.436 5.959
4.582 5.436 -5.959
Ac Nd F
4 2 22
Direct
0.192 0.172 0.364 Ac
0.308 0.672 0.980 Ac
0.692 0.328 0.020 Ac
0.808 0.828 0.636 Ac
0.250 0.750 0.500 Nd
0.750 0.250 0.500 Nd
0.000 0.000 0.000 F
0.021 0.447 0.768 F
0.065 0.825 0.626 F
0.179 0.947 0.427 F
0.181 0.898 0.079 F
0.198 0.439 0.374 F
0.302 0.675 0.241 F
0.319 0.398 0.716 F
0.321 0.748 0.768 F
0.435 0.061 0.759 F
0.479 0.248 0.427 F
0.500 0.500 0.000 F
0.521 0.752 0.573 F
0.565 0.939 0.241 F
0.679 0.252 0.232 F
0.681 0.602 0.284 F
0.698 0.325 0.759 F
0.802 0.561 0.626 F
0.819 0.102 0.921 F
0.821 0.053 0.573 F
0.935 0.175 0.374 F
0.979 0.553 0.232 F
```

- ΔE_f (raw) (meV per atom) = -3449.1
- N(E_F) (states/eV/atom) = 1.03
- total magnetization (μB/atom) = 0.155
- energy (eV/atom) = -5.847
- volume (Å³ per atom) = 21.205


No. 15
The following is a GGA-PBE calculation of a geometry-optimized AcNdF structure, from Alexandria via LeMat-Bulk.

Cell and atoms, written as POSCAR:
```
AcNdF
1.0
7.163 -1.892 0.000
7.163 1.892 0.000
-3.827 0.000 6.548
Ac Nd F
2 2 2
Direct
0.002 0.002 0.264 Ac
0.998 0.998 0.736 Ac
0.261 0.261 0.246 Nd
0.739 0.739 0.754 Nd
0.332 0.332 0.616 F
0.668 0.668 0.384 F
```

- ΔE_f (raw) (meV per atom) = -1497.5
- N(E_F) (states/eV/atom) = 1.03
- total magnetization (μB/atom) = 0.000
- energy (eV/atom) = -5.080
- offset from the most stable computed form (eV per atom) = 0.0315
- volume (Å³ per atom) = 29.587


No. 16
The following is a GGA-PBE calculation of a geometry-optimized Ac2NdF8 structure, from Alexandria via LeMat-Bulk.

Cell and atoms, written as POSCAR:
```
Ac2NdF8
1.0
-2.185 2.743 6.709
2.185 -2.743 6.709
2.185 2.743 -6.709
Ac Nd F
2 1 8
Direct
0.170 0.170 0.000 Ac
0.830 0.830 0.000 Ac
0.500 0.500 0.000 Nd
0.106 0.348 0.757 F
0.264 0.000 0.264 F
0.307 0.807 0.500 F
0.409 0.652 0.757 F
0.591 0.348 0.243 F
0.693 0.193 0.500 F
0.736 0.000 0.736 F
0.894 0.652 0.243 F
```

- ΔE_f (raw) (meV per atom) = -3889.1
- N(E_F) (states/eV/atom) = 0.17
- total magnetization (μB/atom) = 0.016
- energy (eV/atom) = -6.430
- volume (Å³ per atom) = 14.617


No. 17
The following is a GGA-PBE calculation of a geometry-optimized AcNdF6 structure, from Alexandria via LeMat-Bulk.

Cell and atoms, written as POSCAR:
```
AcNdF6
1.0
4.089 0.000 0.000
0.000 3.662 3.908
0.000 -3.662 3.908
Ac Nd F
1 1 6
Direct
0.000 0.000 0.000 Ac
0.500 0.483 0.483 Nd
0.000 0.337 0.337 F
0.000 0.444 0.795 F
0.000 0.795 0.444 F
0.500 0.081 0.697 F
0.500 0.176 0.176 F
0.500 0.697 0.081 F
```

- ΔE_f (raw) (meV per atom) = -4056.1
- N(E_F) (states/eV/atom) = 0.00
- total magnetization (μB/atom) = 0.000
- energy (eV/atom) = -6.569
- volume (Å³ per atom) = 14.628


No. 18
The following is a GGA-PBE calculation of a geometry-optimized AcNdF structure, from Alexandria via LeMat-Bulk.

Cell and atoms, written as POSCAR:
```
AcNdF
1.0
4.034 0.000 0.000
-2.017 3.494 0.000
0.000 0.000 6.034
Ac Nd F
1 1 1
Direct
0.000 0.000 0.000 Ac
0.667 0.333 0.512 Nd
0.333 0.667 0.738 F
```

- ΔE_f (raw) (meV per atom) = -1528.9
- N(E_F) (states/eV/atom) = 0.83
- total magnetization (μB/atom) = 0.000
- energy (eV/atom) = -5.111
- offset from the most stable computed form (eV per atom) = 0.0000
- volume (Å³ per atom) = 28.351


No. 19
The following is a GGA-PBE calculation of a geometry-optimized Ac2NdF structure, from Alexandria via LeMat-Bulk.

Cell and atoms, written as POSCAR:
```
Ac2NdF
1.0
1.967 1.136 10.313
-1.967 1.136 10.313
0.000 -2.272 10.313
Ac Nd F
2 1 1
Direct
0.115 0.115 0.115 Ac
0.885 0.885 0.885 Ac
0.000 0.000 0.000 Nd
0.500 0.500 0.500 F
```

- ΔE_f (raw) (meV per atom) = -885.5
- N(E_F) (states/eV/atom) = 1.54
- total magnetization (μB/atom) = 0.001
- energy (eV/atom) = -4.599
- volume (Å³ per atom) = 34.568